Material: Ac2Sn3Au
Method: DFT, PBE
State: relaxed

Cell and atoms, written as CIF:
```
data_Ac2Sn3Au
_chemical_formula_sum 'Ac2 Sn3 Au1'
_cell_length_a 4.553
_cell_length_b 4.918
_cell_length_c 8.238
_cell_angle_alpha 90.00
_cell_angle_beta 90.00
_cell_angle_gamma 90.00
_symmetry_space_group_name_H-M 'P 1'
_symmetry_Int_Tables_number 1
loop_
_symmetry_equiv_pos_as_xyz
'x,y,z'
loop_
_atom_site_label
_atom_site_type_symbol
_atom_site_fract_x
_atom_site_fract_y
_atom_site_fract_z
_atom_site_occupancy
Ac1 Ac 0.000 0.000 0.000 1
Ac2 Ac 0.000 0.500 0.498 1
Sn1 Sn 0.500 0.000 0.651 1
Sn2 Sn 0.500 0.500 0.178 1
Sn3 Sn 0.500 0.500 0.831 1
Au1 Au 0.500 0.000 0.321 1
```

Output
Size of the total moment, μB/cell: 0.00
Formation energy from the elements, eV/f.u.: -4.0
Symmetry: Pmm2, No. 25
Energy above the most stable polymorph in this dataset, meV per atom: 8.1

=====

Material: Ac4Sn3Au5
Method: DFT, PBE
State: relaxed

Cell and atoms, written as CIF:
```
data_Ac4Sn3Au5
_chemical_formula_sum 'Ac4 Sn3 Au5'
_cell_length_a 8.489
_cell_length_b 8.489
_cell_length_c 11.474
_cell_angle_alpha 125.72
_cell_angle_beta 125.72
_cell_angle_gamma 34.24
_symmetry_space_group_name_H-M 'P 1'
_symmetry_Int_Tables_number 1
loop_
_symmetry_equiv_pos_as_xyz
'x,y,z'
loop_
_atom_site_label
_atom_site_type_symbol
_atom_site_fract_x
_atom_site_fract_y
_atom_site_fract_z
_atom_site_occupancy
Ac1 Ac 0.028 0.028 0.325 1
Ac2 Ac 0.263 0.263 0.745 1
Ac3 Ac 0.737 0.737 0.255 1
Ac4 Ac 0.972 0.972 0.675 1
Sn1 Sn 0.000 0.000 0.000 1
Sn2 Sn 0.318 0.318 0.079 1
Sn3 Sn 0.682 0.682 0.921 1
Au1 Au 0.286 0.286 0.483 1
Au2 Au 0.401 0.401 0.371 1
Au3 Au 0.500 0.500 0.000 1
Au4 Au 0.599 0.599 0.629 1
Au5 Au 0.714 0.714 0.517 1
```

Output
Size of the total moment, μB/cell: 0.00
Formation energy from the elements, eV/f.u.: -6.8
Symmetry: C2/m, No. 12

=====

Material: Ac2SnAu6
Method: DFT, PBE
State: relaxed

Cell and atoms, written as CIF:
```
data_Ac2SnAu6
_chemical_formula_sum 'Ac2 Sn1 Au6'
_cell_length_a 6.623
_cell_length_b 6.623
_cell_length_c 5.747
_cell_angle_alpha 90.00
_cell_angle_beta 90.00
_cell_angle_gamma 120.00
_symmetry_space_group_name_H-M 'P 1'
_symmetry_Int_Tables_number 1
loop_
_symmetry_equiv_pos_as_xyz
'x,y,z'
loop_
_atom_site_label
_atom_site_type_symbol
_atom_site_fract_x
_atom_site_fract_y
_atom_site_fract_z
_atom_site_occupancy
Ac1 Ac 0.333 0.667 0.172 1
Ac2 Ac 0.667 0.333 0.828 1
Sn1 Sn 0.000 0.000 0.000 1
Au1 Au 0.186 0.372 0.675 1
Au2 Au 0.186 0.814 0.675 1
Au3 Au 0.372 0.186 0.325 1
Au4 Au 0.628 0.814 0.675 1
Au5 Au 0.814 0.186 0.325 1
Au6 Au 0.814 0.628 0.325 1
```

Output
Size of the total moment, μB/cell: 0.00
Formation energy from the elements, eV/f.u.: -5.9
Symmetry: P-3m1, No. 164

=====

Material: AcSn6Au12
Method: DFT, PBE
State: relaxed

Cell and atoms, written as CIF:
```
data_AcSn6Au12
_chemical_formula_sum 'Ac1 Sn6 Au12'
_cell_length_a 7.981
_cell_length_b 7.981
_cell_length_c 7.981
_cell_angle_alpha 105.62
_cell_angle_beta 105.62
_cell_angle_gamma 105.62
_symmetry_space_group_name_H-M 'P 1'
_symmetry_Int_Tables_number 1
loop_
_symmetry_equiv_pos_as_xyz
'x,y,z'
loop_
_atom_site_label
_atom_site_type_symbol
_atom_site_fract_x
_atom_site_fract_y
_atom_site_fract_z
_atom_site_occupancy
Ac1 Ac 0.000 0.000 0.000 1
Sn1 Sn 0.290 0.290 0.703 1
Sn2 Sn 0.290 0.703 0.290 1
Sn3 Sn 0.297 0.710 0.710 1
Sn4 Sn 0.703 0.290 0.290 1
Sn5 Sn 0.710 0.297 0.710 1
Sn6 Sn 0.710 0.710 0.297 1
Au1 Au 0.111 0.500 0.889 1
Au2 Au 0.111 0.889 0.500 1
Au3 Au 0.123 0.361 0.361 1
Au4 Au 0.361 0.123 0.361 1
Au5 Au 0.361 0.361 0.123 1
Au6 Au 0.500 0.111 0.889 1
Au7 Au 0.500 0.889 0.111 1
Au8 Au 0.639 0.639 0.877 1
Au9 Au 0.639 0.877 0.639 1
Au10 Au 0.877 0.639 0.639 1
Au11 Au 0.889 0.111 0.500 1
Au12 Au 0.889 0.500 0.111 1
```

Output
Size of the total moment, μB/cell: 0.00
Formation energy from the elements, eV/f.u.: -2.9
Symmetry: R-3m, No. 166

=====

Material: AcSn3Au
Method: DFT, PBE
State: relaxed

Cell and atoms, written as CIF:
```
data_AcSn3Au
_chemical_formula_sum 'Ac2 Sn6 Au2'
_cell_length_a 6.290
_cell_length_b 6.646
_cell_length_c 6.928
_cell_angle_alpha 90.00
_cell_angle_beta 90.03
_cell_angle_gamma 90.00
_symmetry_space_group_name_H-M 'P 1'
_symmetry_Int_Tables_number 1
loop_
_symmetry_equiv_pos_as_xyz
'x,y,z'
loop_
_atom_site_label
_atom_site_type_symbol
_atom_site_fract_x
_atom_site_fract_y
_atom_site_fract_z
_atom_site_occupancy
Ac1 Ac 0.154 0.000 0.250 1
Ac2 Ac 0.846 0.500 0.750 1
Sn1 Sn 0.084 0.058 0.750 1
Sn2 Sn 0.315 0.444 0.013 1
Sn3 Sn 0.315 0.445 0.487 1
Sn4 Sn 0.685 0.944 0.987 1
Sn5 Sn 0.685 0.945 0.513 1
Sn6 Sn 0.916 0.558 0.250 1
Au1 Au 0.374 0.755 0.750 1
Au2 Au 0.626 0.255 0.250 1
```

Output
Size of the total moment, μB/cell: 0.00
Formation energy from the elements, eV/f.u.: -2.2
Symmetry: P2_1, No. 4
Energy above the most stable polymorph in this dataset, meV per atom: 27.8

=====

Material: Ac12Sn5Au2
Method: DFT, PBE
State: relaxed

Cell and atoms, written as CIF:
```
data_Ac12Sn5Au2
_chemical_formula_sum 'Ac12 Sn5 Au2'
_cell_length_a 10.334
_cell_length_b 10.334
_cell_length_c 10.426
_cell_angle_alpha 102.20
_cell_angle_beta 102.20
_cell_angle_gamma 46.91
_symmetry_space_group_name_H-M 'P 1'
_symmetry_Int_Tables_number 1
loop_
_symmetry_equiv_pos_as_xyz
'x,y,z'
loop_
_atom_site_label
_atom_site_type_symbol
_atom_site_fract_x
_atom_site_fract_y
_atom_site_fract_z
_atom_site_occupancy
Ac1 Ac 0.007 0.007 0.282 1
Ac2 Ac 0.083 0.587 0.906 1
Ac3 Ac 0.109 0.593 0.425 1
Ac4 Ac 0.407 0.891 0.575 1
Ac5 Ac 0.413 0.917 0.094 1
Ac6 Ac 0.490 0.490 0.175 1
Ac7 Ac 0.510 0.510 0.825 1
Ac8 Ac 0.587 0.083 0.906 1
Ac9 Ac 0.593 0.109 0.425 1
Ac10 Ac 0.891 0.407 0.575 1
Ac11 Ac 0.917 0.413 0.094 1
Ac12 Ac 0.993 0.993 0.718 1
Sn1 Sn 0.182 0.182 0.835 1
Sn2 Sn 0.199 0.199 0.362 1
Sn3 Sn 0.500 0.500 0.500 1
Sn4 Sn 0.801 0.801 0.638 1
Sn5 Sn 0.818 0.818 0.165 1
Au1 Au 0.177 0.823 0.000 1
Au2 Au 0.823 0.177 0.000 1
```

Output
Size of the total moment, μB/cell: 0.00
Formation energy from the elements, eV/f.u.: -8.2
Symmetry: C2/m, No. 12

=====

Material: Ac4Sn2Au
Method: DFT, PBE
State: relaxed

Cell and atoms, written as CIF:
```
data_Ac4Sn2Au
_chemical_formula_sum 'Ac8 Sn4 Au2'
_cell_length_a 8.710
_cell_length_b 8.710
_cell_length_c 8.710
_cell_angle_alpha 110.82
_cell_angle_beta 110.81
_cell_angle_gamma 106.81
_symmetry_space_group_name_H-M 'P 1'
_symmetry_Int_Tables_number 1
loop_
_symmetry_equiv_pos_as_xyz
'x,y,z'
loop_
_atom_site_label
_atom_site_type_symbol
_atom_site_fract_x
_atom_site_fract_y
_atom_site_fract_z
_atom_site_occupancy
Ac1 Ac 0.004 0.871 0.512 1
Ac2 Ac 0.129 0.141 0.133 1
Ac3 Ac 0.371 0.504 0.012 1
Ac4 Ac 0.496 0.008 0.867 1
Ac5 Ac 0.508 0.996 0.367 1
Ac6 Ac 0.641 0.629 0.633 1
Ac7 Ac 0.859 0.492 0.988 1
Ac8 Ac 0.992 0.359 0.488 1
Sn1 Sn 0.133 0.750 0.883 1
Sn2 Sn 0.250 0.633 0.383 1
Sn3 Sn 0.367 0.250 0.617 1
Sn4 Sn 0.750 0.867 0.117 1
Au1 Au 0.626 0.376 0.250 1
Au2 Au 0.874 0.124 0.750 1
```

Output
Size of the total moment, μB/cell: 0.00
Formation energy from the elements, eV/f.u.: -4.4
Symmetry: I2_12_12_1, No. 24
Energy above the most stable polymorph in this dataset, meV per atom: 0.0

=====

Material: AcSn8Au6
Method: DFT, PBE
State: relaxed

Cell and atoms, written as CIF:
```
data_AcSn8Au6
_chemical_formula_sum 'Ac1 Sn8 Au6'
_cell_length_a 8.517
_cell_length_b 8.517
_cell_length_c 8.517
_cell_angle_alpha 56.55
_cell_angle_beta 56.55
_cell_angle_gamma 56.55
_symmetry_space_group_name_H-M 'P 1'
_symmetry_Int_Tables_number 1
loop_
_symmetry_equiv_pos_as_xyz
'x,y,z'
loop_
_atom_site_label
_atom_site_type_symbol
_atom_site_fract_x
_atom_site_fract_y
_atom_site_fract_z
_atom_site_occupancy
Ac1 Ac 0.000 0.000 0.000 1
Sn1 Sn 0.129 0.778 0.435 1
Sn2 Sn 0.222 0.565 0.871 1
Sn3 Sn 0.327 0.327 0.327 1
Sn4 Sn 0.435 0.129 0.778 1
Sn5 Sn 0.565 0.871 0.222 1
Sn6 Sn 0.673 0.673 0.673 1
Sn7 Sn 0.778 0.435 0.129 1
Sn8 Sn 0.871 0.222 0.565 1
Au1 Au 0.066 0.432 0.750 1
Au2 Au 0.250 0.934 0.568 1
Au3 Au 0.432 0.750 0.066 1
Au4 Au 0.568 0.250 0.934 1
Au5 Au 0.750 0.066 0.432 1
Au6 Au 0.934 0.568 0.250 1
```

Output
Size of the total moment, μB/cell: 0.00
Formation energy from the elements, eV/f.u.: -3.5
Symmetry: R-3, No. 148

=====

Material: Ac3Sn3Au2
Method: DFT, PBE
State: relaxed

Cell and atoms, written as CIF:
```
data_Ac3Sn3Au2
_chemical_formula_sum 'Ac6 Sn6 Au4'
_cell_length_a 6.394
_cell_length_b 6.394
_cell_length_c 16.419
_cell_angle_alpha 90.00
_cell_angle_beta 90.00
_cell_angle_gamma 134.98
_symmetry_space_group_name_H-M 'P 1'
_symmetry_Int_Tables_number 1
loop_
_symmetry_equiv_pos_as_xyz
'x,y,z'
loop_
_atom_site_label
_atom_site_type_symbol
_atom_site_fract_x
_atom_site_fract_y
_atom_site_fract_z
_atom_site_occupancy
Ac1 Ac 0.089 0.911 0.608 1
Ac2 Ac 0.089 0.911 0.892 1
Ac3 Ac 0.363 0.637 0.750 1
Ac4 Ac 0.637 0.363 0.250 1
Ac5 Ac 0.911 0.089 0.108 1
Ac6 Ac 0.911 0.089 0.392 1
Sn1 Sn 0.347 0.653 0.250 1
Sn2 Sn 0.379 0.621 0.539 1
Sn3 Sn 0.379 0.621 0.961 1
Sn4 Sn 0.621 0.379 0.039 1
Sn5 Sn 0.621 0.379 0.461 1
Sn6 Sn 0.653 0.347 0.750 1
Au1 Au 0.205 0.795 0.104 1
Au2 Au 0.205 0.795 0.396 1
Au3 Au 0.795 0.205 0.604 1
Au4 Au 0.795 0.205 0.896 1
```

Output
Size of the total moment, μB/cell: 0.00
Formation energy from the elements, eV/f.u.: -6.0
Symmetry: Cmcm, No. 63